<A>
This record from the Alexandria database describes an optimized crystal structure of NbTl2F. The functional is PBE-GGA.

Values from the calculation:
M_tot = 0.00 μB/cell

Unit cell a=7.205 b=7.205 c=6.625 alpha=90.00 beta=90.00 gamma=90.00
Space group I-42d (No. 122)
Symmetry-distinct sites (fractional):
1 Nb 0.000 0.000 0.000 x4
2 Tl 0.209 0.250 0.625 x8
3 F 0.000 0.000 0.500 x4

<B>
This record from the Alexandria database describes an optimized crystal structure of NbTl2F. The functional is PBE-GGA.

Values from the calculation:
M_tot = 5.13 μB/cell

Unit cell a=6.974 b=6.974 c=6.974 alpha=90.00 beta=90.00 gamma=90.00
Space group Fm-3m (No. 225)
Symmetry-distinct sites (fractional):
1 Nb 0.000 0.000 0.000 x4
2 Tl 0.250 0.250 0.250 x8
3 F 0.000 0.000 0.500 x4

Most stable pick: <A>. Distance to second place: 155 meV/atom.

<A>
This record from the Alexandria database describes an optimized crystal structure of Nb3TlF. The functional is PBE-GGA.

Values from the calculation:
M_tot = 0.00 μB/cell

Unit cell a=5.199 b=5.199 c=5.199 alpha=90.00 beta=90.00 gamma=90.00
Space group Pm-3m (No. 221)
Symmetry-distinct sites (fractional):
1 Nb 0.000 0.000 0.500 x3
2 Tl 0.000 0.000 0.000 x1
3 F 0.500 0.500 0.500 x1

<B>
This record from the Alexandria database describes an optimized crystal structure of Nb3TlF. The functional is PBE-GGA.

Values from the calculation:
M_tot = 0.00 μB/cell

Unit cell a=4.408 b=4.408 c=4.408 alpha=90.00 beta=90.00 gamma=90.00
Space group Pm-3m (No. 221)
Symmetry-distinct sites (fractional):
1 Nb 0.000 0.000 0.500 x3
2 Tl 0.500 0.500 0.500 x1
3 F 0.000 0.000 0.000 x1

Most stable pick: <B>. Distance to second place: 2092 meV/atom.

<A>
This record from the Alexandria database describes an optimized crystal structure of Nb2Tl2F. The functional is PBE-GGA.

Values from the calculation:
M_tot = 0.00 μB/cell

Unit cell a=3.716 b=3.716 c=16.223 alpha=90.00 beta=90.00 gamma=90.00
Space group I4/mmm (No. 139)
Symmetry-distinct sites (fractional):
1 Nb 0.000 0.500 0.250 x4
2 Tl 0.000 0.000 0.087 x4
3 F 0.000 0.000 0.500 x2

<B>
This record from the Alexandria database describes an optimized crystal structure of Nb2Tl2F. The functional is PBE-GGA.

Values from the calculation:
M_tot = 0.00 μB/cell

Unit cell a=8.108 b=8.108 c=3.453 alpha=90.00 beta=90.00 gamma=90.00
Space group P4/mbm (No. 127)
Symmetry-distinct sites (fractional):
1 Nb 0.103 0.397 0.000 x4
2 Tl 0.197 0.697 0.500 x4
3 F 0.000 0.000 0.500 x2

Most stable pick: <A>. Distance to second place: 150 meV/atom.